A relaxed Ac5PmY4 crystal, computed with PBE.

Results
- Total DFT energy (no corrections): -5.08 eV per atom
- DOS(E_F): 1.426 states/eV/atom
- Symmetry: No. 12
- Calculated volume: 383.0 Å³/f.u.
- M_tot: 0.00 μB/atom

```
Ac5PmY4
1.0
9.671 -2.743 0.000
9.671 2.743 0.000
-1.984 0.000 7.220
Ac Pm Y
5 1 4
direct
0.000 0.000 0.000 Ac
0.200 0.200 0.602 Ac
0.399 0.399 0.197 Ac
0.601 0.601 0.803 Ac
0.800 0.800 0.398 Ac
0.000 0.000 0.500 Pm
0.200 0.200 0.101 Y
0.400 0.400 0.699 Y
0.600 0.600 0.301 Y
0.800 0.800 0.899 Y
```


A relaxed Ac4Pm3Y2 crystal, computed with PBE.

Results
- Total DFT energy (no corrections): -4.80 eV per atom
- DOS(E_F): 1.580 states/eV/atom
- Symmetry: No. 2
- Calculated volume: 345.6 Å³/f.u.
- M_tot: 0.00 μB/atom

```
Ac4Pm3Y2
1.0
5.419 0.000 0.000
-2.702 5.878 0.000
-0.001 -3.289 10.850
Ac Pm Y
4 3 2
direct
0.003 0.007 0.332 Ac
0.334 0.668 0.111 Ac
0.666 0.332 0.889 Ac
0.997 0.993 0.668 Ac
0.000 0.000 0.000 Pm
0.334 0.669 0.448 Pm
0.666 0.331 0.552 Pm
0.329 0.658 0.772 Y
0.671 0.342 0.228 Y
```


A relaxed Ac3PmY crystal, computed with PBE.

Results
- Total DFT energy (no corrections): -4.65 eV per atom
- DOS(E_F): 1.752 states/eV/atom
- Distance to the lowest polymorph of the same formula: 0.00 eV per formula unit
- Symmetry: No. 12
- Calculated volume: 202.0 Å³/f.u.
- M_tot: 0.00 μB/atom

```
Ac3PmY
1.0
11.795 -1.953 0.000
11.795 1.953 0.000
-2.212 0.000 8.765
Ac Pm Y
6 2 2
direct
0.016 0.016 0.237 Ac
0.184 0.184 0.382 Ac
0.382 0.382 0.990 Ac
0.618 0.618 0.010 Ac
0.816 0.816 0.618 Ac
0.984 0.984 0.763 Ac
0.216 0.216 0.815 Pm
0.784 0.784 0.185 Pm
0.411 0.411 0.409 Y
0.589 0.589 0.591 Y
```


A relaxed Ac12PmY2 crystal, computed with PBE.

Results
- Total DFT energy (no corrections): -4.04 eV per atom
- DOS(E_F): 1.343 states/eV/atom
- Symmetry: No. 125
- Calculated volume: 710.9 Å³/f.u.
- M_tot: 0.00 μB/atom

```
Ac12PmY2
1.0
7.276 0.000 0.000
0.000 7.276 0.000
0.000 0.000 26.854
Ac Pm Y
24 2 4
direct
0.000 0.000 0.100 Ac
0.000 0.000 0.900 Ac
0.000 0.500 0.100 Ac
0.000 0.500 0.900 Ac
0.079 0.579 0.438 Ac
0.079 0.921 0.562 Ac
0.250 0.250 0.197 Ac
0.250 0.250 0.327 Ac
0.250 0.250 0.673 Ac
0.250 0.250 0.803 Ac
0.421 0.579 0.562 Ac
0.421 0.921 0.438 Ac
0.500 0.000 0.100 Ac
0.500 0.000 0.900 Ac
0.500 0.500 0.100 Ac
0.500 0.500 0.900 Ac
0.579 0.079 0.562 Ac
0.579 0.421 0.438 Ac
0.750 0.750 0.197 Ac
0.750 0.750 0.327 Ac
0.750 0.750 0.673 Ac
0.750 0.750 0.803 Ac
0.921 0.079 0.438 Ac
0.921 0.421 0.562 Ac
0.250 0.750 0.000 Pm
0.750 0.250 0.000 Pm
0.250 0.750 0.221 Y
0.250 0.750 0.779 Y
0.750 0.250 0.221 Y
0.750 0.250 0.779 Y
```


A relaxed AcPm3Y7 crystal, computed with PBE.

Results
- Total DFT energy (no corrections): -5.64 eV per atom
- DOS(E_F): 1.633 states/eV/atom
- Distance to the lowest polymorph of the same formula: 0.00 eV per formula unit
- Symmetry: No. 10
- Calculated volume: 381.0 Å³/f.u.
- M_tot: 0.00 μB/atom

```
AcPm3Y7
1.0
7.065 0.000 0.000
0.000 5.643 0.000
-3.225 0.000 9.557
Ac Pm Y
1 3 7
direct
0.000 0.000 0.000 Ac
0.281 0.500 0.495 Pm
0.500 0.000 0.000 Pm
0.719 0.500 0.505 Pm
0.000 0.000 0.500 Y
0.144 0.500 0.786 Y
0.329 0.500 0.141 Y
0.430 0.000 0.331 Y
0.570 0.000 0.669 Y
0.671 0.500 0.859 Y
0.856 0.500 0.214 Y
```


A relaxed Ac3Pm2Y5 crystal, computed with PBE.

Results
- Total DFT energy (no corrections): -5.05 eV per atom
- DOS(E_F): 1.500 states/eV/atom
- Symmetry: No. 72
- Calculated volume: 392.5 Å³/f.u.
- M_tot: 0.00 μB/atom

```
Ac3Pm2Y5
1.0
-4.943 7.049 5.633
4.943 -7.049 5.633
4.943 7.049 -5.633
Ac Pm Y
6 4 10
direct
0.124 0.749 0.874 Ac
0.250 0.250 0.000 Ac
0.376 0.249 0.625 Ac
0.624 0.751 0.375 Ac
0.750 0.750 0.000 Ac
0.876 0.251 0.126 Ac
0.140 0.100 0.240 Pm
0.360 0.600 0.960 Pm
0.640 0.400 0.040 Pm
0.860 0.900 0.760 Pm
0.007 0.750 0.257 Y
0.122 0.405 0.527 Y
0.250 0.750 0.500 Y
0.378 0.905 0.283 Y
0.493 0.750 0.743 Y
0.507 0.250 0.257 Y
0.622 0.095 0.717 Y
0.750 0.250 0.500 Y
0.878 0.595 0.473 Y
0.993 0.250 0.743 Y
```


A relaxed AcPm5Y12 crystal, computed with PBE.

Results
- Total DFT energy (no corrections): -5.83 eV per atom
- DOS(E_F): 1.571 states/eV/atom
- Symmetry: No. 65
- Calculated volume: 602.5 Å³/f.u.
- M_tot: 0.00 μB/atom

```
AcPm5Y12
1.0
7.666 -7.682 0.000
7.666 7.682 0.000
0.000 0.000 5.116
Ac Pm Y
1 5 12
direct
0.000 0.000 0.000 Ac
0.171 0.829 0.500 Pm
0.334 0.666 0.000 Pm
0.500 0.500 0.500 Pm
0.666 0.334 0.000 Pm
0.829 0.171 0.500 Pm
0.000 0.337 0.000 Y
0.000 0.663 0.000 Y
0.167 0.499 0.500 Y
0.170 0.170 0.500 Y
0.333 0.333 0.000 Y
0.337 0.000 0.000 Y
0.499 0.167 0.500 Y
0.501 0.833 0.500 Y
0.663 0.000 0.000 Y
0.667 0.667 0.000 Y
0.830 0.830 0.500 Y
0.833 0.501 0.500 Y
```


A relaxed Ac3PmY4 crystal, computed with PBE.

Results
- Total DFT energy (no corrections): -5.32 eV per atom
- DOS(E_F): 1.599 states/eV/atom
- Symmetry: No. 31
- Calculated volume: 294.5 Å³/f.u.
- M_tot: 0.00 μB/atom

```
Ac3PmY4
1.0
10.669 0.000 0.000
0.000 7.429 0.000
0.000 0.000 7.431
Ac Pm Y
6 2 8
direct
0.000 0.000 0.000 Ac
0.250 0.258 0.250 Ac
0.250 0.742 0.750 Ac
0.500 0.000 0.500 Ac
0.750 0.258 0.250 Ac
0.750 0.742 0.750 Ac
0.000 0.500 0.500 Pm
0.500 0.500 0.000 Pm
0.000 0.000 0.500 Y
0.000 0.500 0.000 Y
0.250 0.248 0.750 Y
0.250 0.752 0.250 Y
0.500 0.000 0.000 Y
0.500 0.500 0.500 Y
0.750 0.248 0.750 Y
0.750 0.752 0.250 Y
```


A relaxed Ac4Pm4Y3 crystal, computed with PBE.

Results
- Total DFT energy (no corrections): -4.93 eV per atom
- DOS(E_F): 1.513 states/eV/atom
- Symmetry: No. 1
- Calculated volume: 413.1 Å³/f.u.
- M_tot: 0.00 μB/atom

```
Ac4Pm4Y3
1.0
3.712 0.000 0.000
0.001 5.850 0.000
0.025 2.919 19.023
Ac Pm Y
4 4 3
direct
0.000 0.000 0.000 Ac
0.001 0.627 0.743 Ac
0.502 0.185 0.628 Ac
0.503 0.817 0.365 Ac
0.003 0.363 0.274 Pm
0.003 0.727 0.545 Pm
0.500 0.086 0.826 Pm
0.503 0.445 0.110 Pm
0.003 0.272 0.454 Y
0.003 0.907 0.187 Y
0.500 0.541 0.918 Y
```


A relaxed Ac2Pm3Y6 crystal, computed with PBE.

Results
- Total DFT energy (no corrections): -5.39 eV per atom
- DOS(E_F): 1.445 states/eV/atom
- Symmetry: No. 12
- Calculated volume: 405.8 Å³/f.u.
- M_tot: 0.00 μB/atom

```
Ac2Pm3Y6
1.0
3.141 -5.448 0.000
3.141 5.448 0.000
-2.097 0.000 11.857
Ac Pm Y
2 3 6
direct
0.167 0.833 0.000 Ac
0.833 0.167 0.000 Ac
0.000 0.000 0.500 Pm
0.336 0.664 0.500 Pm
0.664 0.336 0.500 Pm
0.082 0.414 0.743 Y
0.254 0.254 0.257 Y
0.414 0.082 0.743 Y
0.586 0.918 0.257 Y
0.746 0.746 0.743 Y
0.918 0.586 0.257 Y
```


A relaxed AcPm2Y6 crystal, computed with PBE.

Results
- Total DFT energy (no corrections): -5.70 eV per atom
- DOS(E_F): 1.638 states/eV/atom
- Distance to the lowest polymorph of the same formula: 0.00 eV per formula unit
- Symmetry: No. 15
- Calculated volume: 306.4 Å³/f.u.
- M_tot: 0.00 μB/atom

```
AcPm2Y6
1.0
5.451 -8.908 0.000
5.451 8.908 0.000
-0.563 0.000 6.310
Ac Pm Y
2 4 12
direct
0.250 0.750 0.750 Ac
0.750 0.250 0.250 Ac
0.154 0.346 0.500 Pm
0.346 0.154 0.000 Pm
0.654 0.846 0.000 Pm
0.846 0.654 0.500 Pm
0.013 0.167 0.992 Y
0.091 0.591 0.228 Y
0.167 0.013 0.492 Y
0.333 0.487 0.007 Y
0.409 0.909 0.272 Y
0.487 0.333 0.507 Y
0.513 0.667 0.493 Y
0.591 0.091 0.728 Y
0.667 0.513 0.993 Y
0.833 0.987 0.508 Y
0.909 0.409 0.772 Y
0.987 0.833 0.008 Y
```


A relaxed Ac5Pm2Y6 crystal, computed with PBE.

Results
- Total DFT energy (no corrections): -5.21 eV per atom
- DOS(E_F): 1.660 states/eV/atom
- Symmetry: No. 55
- Calculated volume: 491.0 Å³/f.u.
- M_tot: 0.00 μB/atom

```
Ac5Pm2Y6
1.0
11.888 0.000 0.000
0.000 21.814 0.000
0.000 0.000 3.787
Ac Pm Y
10 4 12
direct
0.000 0.000 0.000 Ac
0.072 0.427 0.000 Ac
0.145 0.722 0.000 Ac
0.355 0.222 0.000 Ac
0.428 0.927 0.000 Ac
0.500 0.500 0.000 Ac
0.572 0.073 0.000 Ac
0.645 0.778 0.000 Ac
0.855 0.278 0.000 Ac
0.928 0.573 0.000 Ac
0.116 0.284 0.500 Pm
0.384 0.784 0.500 Pm
0.616 0.216 0.500 Pm
0.884 0.716 0.500 Pm
0.084 0.152 0.000 Y
0.159 0.881 0.500 Y
0.227 0.558 0.500 Y
0.273 0.058 0.500 Y
0.341 0.381 0.500 Y
0.416 0.652 0.000 Y
0.584 0.348 0.000 Y
0.659 0.619 0.500 Y
0.727 0.942 0.500 Y
0.773 0.442 0.500 Y
0.841 0.119 0.500 Y
0.916 0.848 0.000 Y
```


A relaxed Ac5Pm5Y2 crystal, computed with PBE.

Results
- Total DFT energy (no corrections): -4.73 eV per atom
- DOS(E_F): 1.665 states/eV/atom
- Symmetry: No. 12
- Calculated volume: 459.3 Å³/f.u.
- M_tot: 0.00 μB/atom

```
Ac5Pm5Y2
1.0
7.994 -2.677 0.000
7.994 2.677 0.000
-5.311 0.000 10.732
Ac Pm Y
5 5 2
direct
0.000 0.000 0.000 Ac
0.161 0.161 0.496 Ac
0.253 0.253 0.247 Ac
0.747 0.747 0.753 Ac
0.839 0.839 0.504 Ac
0.332 0.332 0.999 Pm
0.421 0.421 0.752 Pm
0.500 0.500 0.500 Pm
0.579 0.579 0.248 Pm
0.668 0.668 0.001 Pm
0.084 0.084 0.757 Y
0.916 0.916 0.243 Y
```


A relaxed Ac2Pm5Y2 crystal, computed with PBE.

Results
- Total DFT energy (no corrections): -4.90 eV per atom
- DOS(E_F): 1.724 states/eV/atom
- Symmetry: No. 2
- Calculated volume: 332.4 Å³/f.u.
- M_tot: 0.00 μB/atom

```
Ac2Pm5Y2
1.0
3.696 0.000 0.000
0.067 8.806 0.000
1.808 1.876 10.212
Ac Pm Y
2 5 2
direct
0.100 0.323 0.293 Ac
0.900 0.677 0.707 Ac
0.087 0.720 0.349 Pm
0.283 0.348 0.933 Pm
0.500 0.000 0.500 Pm
0.717 0.652 0.067 Pm
0.913 0.280 0.651 Pm
0.318 0.970 0.857 Y
0.682 0.030 0.143 Y
```


A relaxed AcPm3Y8 crystal, computed with PBE.

Results
- Total DFT energy (no corrections): -5.82 eV per atom
- DOS(E_F): 1.927 states/eV/atom
- Symmetry: No. 1
- Calculated volume: 409.2 Å³/f.u.
- M_tot: 0.00 μB/atom

```
AcPm3Y8
1.0
6.405 0.000 0.000
3.190 7.994 0.000
3.201 -0.393 7.992
Ac Pm Y
1 3 8
direct
0.000 0.000 0.000 Ac
0.000 0.500 0.500 Pm
0.666 0.254 0.747 Pm
0.666 0.748 0.253 Pm
0.001 0.421 0.915 Y
0.002 0.915 0.421 Y
0.329 0.169 0.169 Y
0.334 0.665 0.665 Y
0.337 0.086 0.579 Y
0.337 0.580 0.085 Y
0.664 0.336 0.335 Y
0.667 0.831 0.831 Y
```


A relaxed Ac2Pm4Y5 crystal, computed with PBE.

Results
- Total DFT energy (no corrections): -5.26 eV per atom
- DOS(E_F): 1.442 states/eV/atom
- Distance to the lowest polymorph of the same formula: 0.21 eV per formula unit
- Symmetry: No. 12
- Calculated volume: 396.1 Å³/f.u.
- M_tot: 0.00 μB/atom

```
Ac2Pm4Y5
1.0
8.419 -3.431 0.000
8.419 3.431 0.000
-1.100 0.000 6.857
Ac Pm Y
2 4 5
direct
0.201 0.201 0.303 Ac
0.799 0.799 0.697 Ac
0.246 0.246 0.812 Pm
0.416 0.416 0.602 Pm
0.584 0.584 0.398 Pm
0.754 0.754 0.188 Pm
0.000 0.000 0.500 Y
0.172 0.652 0.100 Y
0.348 0.828 0.900 Y
0.652 0.172 0.100 Y
0.828 0.348 0.900 Y
```


A relaxed AcPmY2 crystal, computed with PBE.

Results
- Total DFT energy (no corrections): -5.41 eV per atom
- DOS(E_F): 1.667 states/eV/atom
- Distance to the lowest polymorph of the same formula: 0.02 eV per formula unit
- Symmetry: No. 160
- Calculated volume: 142.9 Å³/f.u.
- M_tot: 0.00 μB/atom

```
AcPmY2
1.0
1.867 1.078 11.834
-1.867 1.078 11.834
0.000 -2.156 11.834
Ac Pm Y
1 1 2
direct
0.000 0.000 0.000 Ac
0.834 0.834 0.834 Pm
0.419 0.419 0.419 Y
0.581 0.581 0.581 Y
```


A relaxed AcPm6Y12 crystal, computed with PBE.

Results
- Total DFT energy (no corrections): -5.60 eV per atom
- DOS(E_F): 1.759 states/eV/atom
- Symmetry: No. 166
- Calculated volume: 661.2 Å³/f.u.
- M_tot: 0.00 μB/atom

```
AcPm6Y12
1.0
6.742 3.892 4.199
-6.742 3.892 4.199
0.000 -7.785 4.199
Ac Pm Y
1 6 12
direct
0.000 0.000 0.000 Ac
0.102 0.102 0.653 Pm
0.102 0.653 0.102 Pm
0.347 0.898 0.898 Pm
0.653 0.102 0.102 Pm
0.898 0.347 0.898 Pm
0.898 0.898 0.347 Pm
0.080 0.354 0.354 Y
0.241 0.500 0.759 Y
0.241 0.759 0.500 Y
0.354 0.080 0.354 Y
0.354 0.354 0.080 Y
0.500 0.241 0.759 Y
0.500 0.759 0.241 Y
0.646 0.646 0.920 Y
0.646 0.920 0.646 Y
0.759 0.241 0.500 Y
0.759 0.500 0.241 Y
0.920 0.646 0.646 Y
```


A relaxed Ac3PmY8 crystal, computed with PBE.

Results
- Total DFT energy (no corrections): -5.14 eV per atom
- DOS(E_F): 1.531 states/eV/atom
- Symmetry: No. 121
- Calculated volume: 483.3 Å³/f.u.
- M_tot: 0.00 μB/atom

```
Ac3PmY8
1.0
-4.579 4.579 5.763
4.579 -4.579 5.763
4.579 4.579 -5.763
Ac Pm Y
3 1 8
direct
0.000 0.000 0.000 Ac
0.250 0.750 0.500 Ac
0.750 0.250 0.500 Ac
0.500 0.500 0.000 Pm
0.139 0.387 0.000 Y
0.237 0.237 0.541 Y
0.304 0.763 0.000 Y
0.387 0.139 0.000 Y
0.613 0.613 0.752 Y
0.696 0.696 0.459 Y
0.763 0.304 0.000 Y
0.861 0.861 0.248 Y
```